Record 1
The following is a PBEsol calculation of crystalline GeIrC2 at its relaxed geometry, from the Alexandria database.

Values from the calculation:
The calculated formation energy comes out at 0.750 eV per atom.

Lattice parameters (Å, degrees): 4.6896 4.6896 5.5354 115.06 115.06 90.00
With the nearest neighbours (Å) after each atom.
Positions (direct):
Ge 0.7500 0.2500 0.5000  4 C 1.99
Ge 0.5000 0.5000 0.0000  4 C 1.99
C 0.6250 0.6227 0.7500  2 Ge 1.99, 2 Ir 2.00
C 0.1250 0.1273 0.7500  2 Ge 1.99, 2 Ir 2.00
C 0.8727 0.3750 0.2500  2 Ge 1.99, 2 Ir 2.00
C 0.3773 0.8750 0.2500  2 Ge 1.99, 2 Ir 2.00
Ir 0.0000 0.0000 0.0000  4 C 2.00
Ir 0.2500 0.7500 0.5000  4 C 2.00

Record 2
The following is a PBEsol calculation of crystalline GeIrCSe2 at its relaxed geometry, from the Alexandria database.

Values from the calculation:
The formation energy from raw total energies comes out at 37.02 kcal/mol of atoms.

Lattice parameters (Å, degrees): 3.5609 4.9076 4.9076 90.00 90.00 90.00
With the nearest neighbours (Å) after each atom.
Positions (direct):
Ge 0.0000 0.0000 0.0000  2 C 1.78
Ir 0.5000 0.5000 0.5000  8 Se 3.03
C 0.5000 0.0000 0.0000  2 Ge 1.78
Se 0.0000 0.0000 0.5000  2 Ge 2.45
Se 0.0000 0.5000 0.0000  2 Ge 2.45